#P
Cu2Ag3 | PBE | relaxed

a = 6.3444 Å, b = 6.3444 Å, c = 3.8702 Å
α = 90.00°, β = 90.00°, γ = 90.00°
Closest atoms and distances in Å follow each position.
Fractional positions:
Ag  0.5000  0.5000  0.0000  8 Ag 2.82, 4 Cu 2.88
Ag  0.0000  0.0000  0.5000  8 Cu 2.76, 4 Ag 2.79
Ag  0.6045  0.1931  0.5000  6 Cu 2.73-2.82, 6 Ag 2.79-2.91
Ag  0.1931  0.3955  0.5000  6 Cu 2.73-2.82, 6 Ag 2.79-2.91
Ag  0.8069  0.6045  0.5000  6 Cu 2.73-2.82, 6 Ag 2.79-2.91
Ag  0.3955  0.8069  0.5000  6 Cu 2.73-2.82, 6 Ag 2.79-2.91
Cu  0.2963  0.0947  0.0000  9 Ag 2.73-2.88, 3 Cu 2.79-2.85
Cu  0.9053  0.2963  0.0000  9 Ag 2.73-2.88, 3 Cu 2.79-2.85
Cu  0.0947  0.7037  0.0000  9 Ag 2.73-2.88, 3 Cu 2.79-2.85
Cu  0.7037  0.9053  0.0000  9 Ag 2.73-2.88, 3 Cu 2.79-2.85

Calculated values
As for the space-group type: P4/m (83). The calculation puts the theoretical density at 9.6 Mg/m³.

#Q
Cu2Ag3 | PBE | relaxed

a = 2.8666 Å, b = 2.8666 Å, c = 18.9042 Å
α = 90.00°, β = 90.00°, γ = 90.00°
Closest atoms and distances in Å follow each position.
Fractional positions:
Ag  0.0000  0.0000  0.0951  4 Cu 2.71, 8 Ag 2.87-2.95
Ag  0.5000  0.5000  0.2084  4 Cu 2.73, 8 Ag 2.87-2.95
Ag  0.5000  0.5000  0.4023  8 Cu 2.74, 4 Ag 2.87
Ag  0.5000  0.5000  0.5977  8 Cu 2.74, 4 Ag 2.87
Ag  0.5000  0.5000  0.7916  4 Cu 2.73, 8 Ag 2.87-2.95
Ag  0.0000  0.0000  0.9049  4 Cu 2.71, 8 Ag 2.87-2.95
Cu  0.5000  0.5000  0.0000  8 Ag 2.71, 4 Cu 2.87
Cu  0.0000  0.0000  0.3052  8 Ag 2.73-2.74, 4 Cu 2.87
Cu  0.0000  0.0000  0.5000  8 Ag 2.74, 4 Cu 2.87
Cu  0.0000  0.0000  0.6948  8 Ag 2.73-2.74, 4 Cu 2.87

Calculated values
As for the space-group type: P4/mmm (123). The calculation puts the theoretical density at 9.6 Mg/m³.

#Q comes first in stability; the runner-up is 12 meV/atom higher.

#P
Cu4Ag | PBE | relaxed

a = 9.0731 Å, b = 9.0731 Å, c = 5.4226 Å
α = 98.87°, β = 98.87°, γ = 17.24°
Closest atoms and distances in Å follow each position.
Fractional positions:
Ag  0.1044  0.1044  0.3053  10 Cu 2.65-2.73, 2 Ag 2.72
Ag  0.8956  0.8956  0.6947  10 Cu 2.65-2.73, 2 Ag 2.72
Cu  0.5000  0.5000  0.0000  8 Cu 2.62-2.72, 4 Ag 2.67
Cu  0.7014  0.7014  0.0820  9 Cu 2.48-2.72, 2 Ag 2.65
Cu  0.9004  0.9004  0.2010  10 Cu 2.58-2.72, 2 Ag 2.69-2.73
Cu  0.2930  0.2930  0.3808  9 Cu 2.52-2.72, 2 Ag 2.68
Cu  0.5000  0.5000  0.5000  8 Cu 2.60-2.72, 4 Ag 2.66
Cu  0.7070  0.7070  0.6192  9 Cu 2.52-2.72, 2 Ag 2.68
Cu  0.0996  0.0996  0.7990  10 Cu 2.58-2.72, 2 Ag 2.69-2.73
Cu  0.2986  0.2986  0.9180  9 Cu 2.48-2.72, 2 Ag 2.65

Calculated values
As for the space-group type: C2/m (12). The calculation puts the theoretical density at 9.2 Mg/m³.

#Q
Cu4Ag | PBE | relaxed

a = 21.1314 Å, b = 21.1314 Å, c = 21.1314 Å
α = 7.31°, β = 7.31°, γ = 7.31°
Closest atoms and distances in Å follow each position.
Fractional positions:
Ag  0.4008  0.4008  0.4008  6 Ag 2.69, 6 Cu 2.76
Ag  0.5992  0.5992  0.5992  6 Ag 2.69, 6 Cu 2.76
Cu  0.0000  0.0000  0.0000  12 Cu 2.52-2.69
Cu  0.1034  0.1034  0.1034  9 Cu 2.52-2.69, 3 Ag 2.76
Cu  0.1986  0.1986  0.1986  12 Cu 2.52-2.69
Cu  0.3020  0.3020  0.3020  9 Cu 2.52-2.69, 3 Ag 2.76
Cu  0.5000  0.5000  0.5000  12 Cu 2.55-2.69
Cu  0.6980  0.6980  0.6980  9 Cu 2.52-2.69, 3 Ag 2.76
Cu  0.8014  0.8014  0.8014  12 Cu 2.52-2.69
Cu  0.8966  0.8966  0.8966  9 Cu 2.52-2.69, 3 Ag 2.76

Calculated values
As for the space-group type: R-3m (166). The calculation puts the theoretical density at 9.1 Mg/m³.

#R
Cu4Ag | PBE | relaxed

a = 2.6834 Å, b = 2.6834 Å, c = 18.0311 Å
α = 90.00°, β = 90.00°, γ = 90.00°
Closest atoms and distances in Å follow each position.
Fractional positions:
Ag  0.0000  0.5000  0.1576  4 Ag 2.68, 8 Cu 2.76
Ag  0.5000  0.0000  0.8424  4 Ag 2.68, 8 Cu 2.76
Cu  0.5000  0.0000  0.0463  8 Cu 2.53-2.68, 4 Ag 2.76
Cu  0.5000  0.0000  0.2689  8 Cu 2.53-2.68, 4 Ag 2.76
Cu  0.0000  0.5000  0.3614  12 Cu 2.52-2.68
Cu  0.5000  0.0000  0.4538  12 Cu 2.52-2.68
Cu  0.0000  0.5000  0.5462  12 Cu 2.52-2.68
Cu  0.5000  0.0000  0.6385  12 Cu 2.52-2.68
Cu  0.0000  0.5000  0.7311  8 Cu 2.53-2.68, 4 Ag 2.76
Cu  0.0000  0.5000  0.9537  8 Cu 2.53-2.68, 4 Ag 2.76

Calculated values
As for the space-group type: P4/nmm (129). The calculation puts the theoretical density at 9.3 Mg/m³.

#R comes first in stability; the runner-up is 16 meV/atom higher.

#P
KPrSO | PBE | relaxed

a = 7.2406 Å, b = 7.2406 Å, c = 7.2406 Å
α = 31.20°, β = 31.20°, γ = 31.20°
Closest atoms and distances in Å follow each position.
Fractional positions:
K  0.9961  0.9961  0.9961  3 S 3.04, 3 O 3.06
O  0.2287  0.2287  0.2287  3 Pr 2.46
Pr  0.5134  0.5134  0.5134  3 O 2.46
S  0.7618  0.7618  0.7618  3 Pr 2.85, 3 K 3.04

Calculated values
The spin magnetization comes out at 0.00 μB/atom. As for the space-group type: R3m (160). The calculation puts the theoretical density at 4.2 Mg/m³.

#Q
KPrSO | PBE | relaxed

a = 7.5782 Å, b = 7.7053 Å, c = 6.7214 Å
α = 90.00°, β = 104.30°, γ = 90.00°
Closest atoms and distances in Å follow each position.
Fractional positions:
K  0.0846  0.7434  0.0064  2 O 2.76-3.09
K  0.9154  0.2434  0.4936  2 O 2.76-3.09
K  0.0846  0.7566  0.5064  2 O 2.76-3.09
K  0.9154  0.2566  0.9936  2 O 2.76-3.09
O  0.6083  0.3495  0.1194  3 Pr 2.36-2.38
O  0.3917  0.8495  0.3806  3 Pr 2.36-2.38
O  0.6083  0.1505  0.6194  3 Pr 2.36-2.38
O  0.3917  0.6505  0.8806  3 Pr 2.36-2.38
Pr  0.5362  0.6259  0.2338  3 O 2.36-2.38
Pr  0.4638  0.1259  0.2662  3 O 2.36-2.38
Pr  0.5362  0.8741  0.7338  3 O 2.36-2.38
Pr  0.4638  0.3741  0.7662  3 O 2.36-2.38
S  0.7616  0.9144  0.1616  3 Pr 2.92-3.00, 3 K 3.17-3.20
S  0.2384  0.4144  0.3384  3 Pr 2.92-3.00, 3 K 3.17-3.20
S  0.7616  0.5856  0.6616  3 Pr 2.92-3.00, 3 K 3.17-3.20
S  0.2384  0.0856  0.8384  3 Pr 2.92-3.00, 3 K 3.17-3.20

Calculated values
The spin magnetization comes out at 0.00 μB/atom. As for the space-group type: P2_1/c (14). The calculation puts the theoretical density at 4.0 Mg/m³.

#Q comes first in stability; the runner-up is 70 meV/atom higher.

#P
BaHfGa | PBE | relaxed

a = 5.1037 Å, b = 5.1037 Å, c = 5.1037 Å
α = 60.00°, β = 60.00°, γ = 60.00°
Closest atoms and distances in Å follow each position.
Fractional positions:
Ba  0.5000  0.5000  0.5000  4 Ga 3.13
Ga  0.2500  0.2500  0.2500  4 Ba 3.13, 4 Hf 3.13
Hf  0.0000  0.0000  0.0000  4 Ga 3.13

Calculated values
The spin magnetization comes out at 0.33 μB/atom. As for the space-group type: F-43m (216). The calculation puts the theoretical density at 6.8 Mg/m³.

#Q
BaHfGa | PBE | relaxed

a = 5.1930 Å, b = 5.1930 Å, c = 5.1930 Å
α = 60.00°, β = 60.00°, γ = 60.00°
Closest atoms and distances in Å follow each position.
Fractional positions:
Ba  0.0000  0.0000  0.0000  4 Ga 3.18, 4 Hf 3.18
Ga  0.2500  0.2500  0.2500  4 Ba 3.18
Hf  0.7500  0.7500  0.7500  4 Ba 3.18

Calculated values
The spin magnetization comes out at 0.15 μB/atom. As for the space-group type: F-43m (216). The calculation puts the theoretical density at 6.5 Mg/m³.

#P comes first in stability; the runner-up is 664 meV/atom higher.

#P
BePdSO | PBE | relaxed

a = 3.2047 Å, b = 3.2047 Å, c = 9.8754 Å
α = 90.00°, β = 90.00°, γ = 90.00°
Closest atoms and distances in Å follow each position.
Fractional positions:
Be  0.7500  0.7500  0.0795  1 O 1.51
Be  0.2500  0.2500  0.9205  1 O 1.51
O  0.2500  0.2500  0.0737  1 Be 1.51
O  0.7500  0.7500  0.9263  1 Be 1.51
Pd  0.2500  0.2500  0.2864  1 O 2.10
Pd  0.7500  0.7500  0.7136  1 O 2.10
S  0.7500  0.2500  0.5000  4 S 2.27
S  0.2500  0.7500  0.5000  4 S 2.27

Calculated values
As for the space-group type: P4/nmm (129). The calculation puts the theoretical density at 5.4 Mg/m³.

#Q
BePdSO | PBE | relaxed

a = 3.1897 Å, b = 3.1897 Å, c = 10.8529 Å
α = 90.00°, β = 90.00°, γ = 90.00°
Closest atoms and distances in Å follow each position.
Fractional positions:
Be  0.7500  0.2500  0.0000  4 S 2.06, 4 Be 2.26
Be  0.2500  0.7500  0.0000  4 S 2.06, 4 Be 2.26
O  0.2500  0.2500  0.4022  5 Pd 2.26-2.29
O  0.7500  0.7500  0.5978  5 Pd 2.26-2.29
Pd  0.7500  0.7500  0.3870  5 O 2.26-2.29
Pd  0.2500  0.2500  0.6130  5 O 2.26-2.29
S  0.2500  0.2500  0.1198  4 Be 2.06
S  0.7500  0.7500  0.8802  4 Be 2.06

Calculated values
As for the space-group type: P4/nmm (129). The calculation puts the theoretical density at 4.9 Mg/m³.

#Q comes first in stability; the runner-up is 49 meV/atom higher.

#P
GaPIrO | PBE | relaxed

a = 4.2529 Å, b = 4.2529 Å, c = 6.2171 Å
α = 90.00°, β = 90.00°, γ = 90.00°
Closest atoms and distances in Å follow each position.
Fractional positions:
Ga  0.7500  0.2500  0.5000  4 P 2.43
Ga  0.2500  0.7500  0.5000  4 P 2.43
Ir  0.2500  0.2500  0.0597  4 O 2.16, 1 P 2.30
Ir  0.7500  0.7500  0.9403  4 O 2.16, 1 P 2.30
O  0.7500  0.2500  0.0000  4 Ir 2.16
O  0.2500  0.7500  0.0000  4 Ir 2.16
P  0.7500  0.7500  0.3106  1 Ir 2.30, 4 Ga 2.43
P  0.2500  0.2500  0.6894  1 Ir 2.30, 4 Ga 2.43

Calculated values
The spin magnetization comes out at 0.00 μB/atom. As for the space-group type: P4/nmm (129). The calculation puts the theoretical density at 9.1 Mg/m³.

#Q
GaPIrO | PBE | relaxed

a = 3.8690 Å, b = 3.8690 Å, c = 8.2433 Å
α = 90.00°, β = 90.00°, γ = 90.00°
Closest atoms and distances in Å follow each position.
Fractional positions:
Ga  0.0000  0.5000  0.0927  4 O 2.08
Ga  0.5000  0.0000  0.9073  4 O 2.08
Ir  0.0000  0.0000  0.5000  4 P 2.35
Ir  0.5000  0.5000  0.5000  4 P 2.35
O  0.0000  0.0000  0.0000  4 Ga 2.08
O  0.5000  0.5000  0.0000  4 Ga 2.08
P  0.5000  0.0000  0.3389  4 Ir 2.35
P  0.0000  0.5000  0.6611  4 Ir 2.35

Calculated values
The spin magnetization comes out at 0.01 μB/atom. As for the space-group type: P4/nmm (129). The calculation puts the theoretical density at 8.3 Mg/m³.

#Q comes first in stability; the runner-up is 908 meV/atom higher.